# ZrTi2W PBE optimized geometry
data_ZrTi2W
_symmetry_space_group_name_H-M 'P 4/m m m'
_symmetry_Int_Tables_number 123
_symmetry_space_group_name_Hall '-P 4 2'
_cell_length_a 3.252
_cell_length_b 3.252
_cell_length_c 6.859
_cell_angle_alpha 90.00
_cell_angle_beta 90.00
_cell_angle_gamma 90.00
loop_
_atom_site_label
_atom_site_type_symbol
_atom_site_fract_x
_atom_site_fract_y
_atom_site_fract_z
Zr1 Zr 0.000 0.000 0.000
Ti1 Ti 0.500 0.500 0.288
W1 W 0.000 0.000 0.500
# * calculated volume: 72.5 Å³ per cell
# * VASP energy: -37.15 eV per cell

***

# ZnSb2Ru PBE optimized geometry
data_ZnSb2Ru
_symmetry_space_group_name_H-M 'P 4 m m'
_symmetry_Int_Tables_number 99
_cell_length_a 3.236
_cell_length_b 3.236
_cell_length_c 7.913
_cell_angle_alpha 90.00
_cell_angle_beta 90.00
_cell_angle_gamma 90.00
loop_
_symmetry_equiv_pos_as_xyz
'x,y,z'
'-y,x,z'
'-x,-y,z'
'y,-x,z'
'-x,y,z'
'y,x,z'
'x,-y,z'
'-y,-x,z'
loop_
_atom_site_label
_atom_site_type_symbol
_atom_site_fract_x
_atom_site_fract_y
_atom_site_fract_z
Zn1 Zn 0.000 0.000 0.000
Sb1 Sb 0.000 0.000 0.370
Sb2 Sb 0.500 0.500 0.765
Ru1 Ru 0.500 0.500 0.169
# * calculated volume: 82.9 Å³ per cell
# * E_form (uncorrected): 0.02 eV per atom

***

# Li3MoC PBE optimized geometry
data_Li3MoC
_symmetry_space_group_name_H-M 'P m -3 m'
_symmetry_Int_Tables_number 221
_symmetry_space_group_name_Hall '-P 4 2 3'
_cell_length_a 3.965
_cell_length_b 3.965
_cell_length_c 3.965
_cell_angle_alpha 90.00
_cell_angle_beta 90.00
_cell_angle_gamma 90.00
loop_
_atom_site_label
_atom_site_type_symbol
_atom_site_fract_x
_atom_site_fract_y
_atom_site_fract_z
Li1 Li 0.000 0.000 0.500
Mo1 Mo 0.500 0.500 0.500
C1 C 0.000 0.000 0.000
# * calculated volume: 62.3 Å³ per cell
# * VASP energy: -20.17 eV per cell

***

# ReSiP2 PBE optimized geometry
data_ReSiP2
_symmetry_space_group_name_H-M 'P m m m'
_symmetry_Int_Tables_number 47
_cell_length_a 3.057
_cell_length_b 3.922
_cell_length_c 4.700
_cell_angle_alpha 90.00
_cell_angle_beta 90.00
_cell_angle_gamma 90.00
loop_
_symmetry_equiv_pos_as_xyz
'x,y,z'
'-x,-y,-z'
'-x,-y,z'
'x,y,-z'
'x,-y,-z'
'-x,y,z'
'-x,y,-z'
'x,-y,z'
loop_
_atom_site_label
_atom_site_type_symbol
_atom_site_fract_x
_atom_site_fract_y
_atom_site_fract_z
Re1 Re 0.000 0.000 0.000
Si1 Si 0.500 0.000 0.500
P1 P 0.000 0.500 0.500
P2 P 0.500 0.500 0.000
# * calculated volume: 56.3 Å³ per cell
# * E_form (uncorrected): 0.55 eV per atom

***

# Cu2MoAu PBE optimized geometry
data_Cu2MoAu
_symmetry_space_group_name_H-M 'P 4/m m m'
_symmetry_Int_Tables_number 123
_symmetry_space_group_name_Hall '-P 4 2'
_cell_length_a 4.653
_cell_length_b 4.653
_cell_length_c 2.698
_cell_angle_alpha 90.00
_cell_angle_beta 90.00
_cell_angle_gamma 90.00
loop_
_atom_site_label
_atom_site_type_symbol
_atom_site_fract_x
_atom_site_fract_y
_atom_site_fract_z
Cu1 Cu 0.000 0.500 0.000
Mo1 Mo 0.000 0.000 0.500
Au1 Au 0.500 0.500 0.500
# * calculated volume: 58.4 Å³ per cell
# * VASP energy: -20.98 eV per cell

***

# Tb2CoPb PBE optimized geometry
data_Tb2CoPb
_symmetry_space_group_name_H-M 'P 4/m m m'
_symmetry_Int_Tables_number 123
_symmetry_space_group_name_Hall '-P 4 2'
_cell_length_a 3.437
_cell_length_b 3.437
_cell_length_c 8.029
_cell_angle_alpha 90.00
_cell_angle_beta 90.00
_cell_angle_gamma 90.00
loop_
_atom_site_label
_atom_site_type_symbol
_atom_site_fract_x
_atom_site_fract_y
_atom_site_fract_z
Tb1 Tb 0.000 0.000 0.201
Co1 Co 0.500 0.500 0.000
Pb1 Pb 0.500 0.500 0.500
# * calculated volume: 94.9 Å³ per cell
# * VASP energy: -21.27 eV per cell

***

# Ba2P2Cl PBE optimized geometry
data_Ba2P2Cl
_symmetry_space_group_name_H-M 'C 1 2/c 1'
_symmetry_Int_Tables_number 15
_cell_length_a 17.443
_cell_length_b 5.307
_cell_length_c 8.260
_cell_angle_alpha 90.00
_cell_angle_beta 109.80
_cell_angle_gamma 90.00
loop_
_symmetry_equiv_pos_as_xyz
'x,y,z'
'-x,-y,-z'
'-x,y,-z+1/2'
'x,-y,z+1/2'
'x+1/2,y+1/2,z'
'-x+1/2,-y+1/2,-z'
'-x+1/2,y+1/2,-z+1/2'
'x+1/2,-y+1/2,z+1/2'
loop_
_atom_site_label
_atom_site_type_symbol
_atom_site_fract_x
_atom_site_fract_y
_atom_site_fract_z
Ba1 Ba 0.143 0.128 0.127
P1 P 0.211 0.403 0.500
Cl1 Cl 0.000 0.094 0.750
# * calculated volume: 719.4 Å³ per cell
# * E_form (uncorrected): -1.33 eV per atom

***

# La4SbPI2 PBE optimized geometry
data_La4SbPI2
_symmetry_space_group_name_H-M 'P 1 2/m 1'
_symmetry_Int_Tables_number 10
_cell_length_a 7.860
_cell_length_b 4.435
_cell_length_c 8.127
_cell_angle_alpha 90.00
_cell_angle_beta 108.38
_cell_angle_gamma 90.00
loop_
_symmetry_equiv_pos_as_xyz
'x,y,z'
'-x,-y,-z'
'-x,y,-z'
'x,-y,z'
loop_
_atom_site_label
_atom_site_type_symbol
_atom_site_fract_x
_atom_site_fract_y
_atom_site_fract_z
La1 La 0.210 0.000 0.199
La2 La 0.234 0.500 0.791
Sb1 Sb 0.500 0.000 0.000
P1 P 0.000 0.500 0.000
I1 I 0.000 0.000 0.500
I2 I 0.500 0.500 0.500
# * calculated volume: 268.9 Å³ per cell
# * E_form (uncorrected): -1.33 eV per atom

***

# YCuC PBE optimized geometry
data_YCuC
_symmetry_space_group_name_H-M 'P 1'
_symmetry_Int_Tables_number 1
_cell_length_a 4.182
_cell_length_b 5.241
_cell_length_c 5.508
_cell_angle_alpha 90.01
_cell_angle_beta 112.05
_cell_angle_gamma 90.02
loop_
_symmetry_equiv_pos_as_xyz
'x,y,z'
loop_
_atom_site_label
_atom_site_type_symbol
_atom_site_fract_x
_atom_site_fract_y
_atom_site_fract_z
Y1 Y 0.000 0.000 0.000
Y2 Y 0.297 0.500 0.565
Cu1 Cu 0.300 0.000 0.612
Cu2 Cu 0.701 0.001 0.410
C1 C 0.060 0.500 0.099
C2 C 0.935 0.500 0.845
# * calculated volume: 111.9 Å³ per cell
# * VASP energy: -39.11 eV per cell

***

# ZrAsPBr2 PBE optimized geometry
data_ZrAsPBr2
_symmetry_space_group_name_H-M 'P 4/m m m'
_symmetry_Int_Tables_number 123
_symmetry_space_group_name_Hall '-P 4 2'
_cell_length_a 5.244
_cell_length_b 5.244
_cell_length_c 5.467
_cell_angle_alpha 90.00
_cell_angle_beta 90.00
_cell_angle_gamma 90.00
loop_
_atom_site_label
_atom_site_type_symbol
_atom_site_fract_x
_atom_site_fract_y
_atom_site_fract_z
Zr1 Zr 0.000 0.000 0.000
As1 As 0.000 0.000 0.500
P1 P 0.500 0.500 0.500
Br1 Br 0.000 0.500 0.000
# * calculated volume: 150.4 Å³ per cell
# * E_form (uncorrected): 0.14 eV per atom

***

# AsRhF2 PBE optimized geometry
data_AsRhF2
_symmetry_space_group_name_H-M 'R -3 m'
_symmetry_Int_Tables_number 166
_symmetry_space_group_name_Hall '-R 3 2"'
_cell_length_a 2.8102
_cell_length_b 2.8102
_cell_length_c 23.6686
_cell_angle_alpha 90.00
_cell_angle_beta 90.00
_cell_angle_gamma 120.00
loop_
_atom_site_label
_atom_site_type_symbol
_atom_site_fract_x
_atom_site_fract_y
_atom_site_fract_z
As1 As 0.0000 0.0000 0.0000
Rh1 Rh 0.0000 0.0000 0.5000
F1 F 0.0000 0.0000 0.4142
# * calculated volume: 161.9 Å³ per cell
# * E_form (uncorrected): -0.66 eV per atom

***

# Pr2SiHg PBE optimized geometry
data_Pr2SiHg
_symmetry_space_group_name_H-M 'P 1 21/m 1'
_symmetry_Int_Tables_number 11
_cell_length_a 6.218
_cell_length_b 4.303
_cell_length_c 8.752
_cell_angle_alpha 90.00
_cell_angle_beta 108.63
_cell_angle_gamma 90.00
loop_
_symmetry_equiv_pos_as_xyz
'x,y,z'
'-x,-y,-z'
'-x,y+1/2,-z'
'x,-y+1/2,z'
loop_
_atom_site_label
_atom_site_type_symbol
_atom_site_fract_x
_atom_site_fract_y
_atom_site_fract_z
Pr1 Pr 0.201 0.250 0.423
Pr2 Pr 0.278 0.750 0.065
Si1 Si 0.123 0.250 0.789
Hg1 Hg 0.366 0.750 0.712
# * calculated volume: 221.9 Å³ per cell
# * E_form (uncorrected): -0.52 eV per atom

***

# PmSm12Er6 PBE optimized geometry
data_PmSm12Er6
_symmetry_space_group_name_H-M 'R -3 m'
_symmetry_Int_Tables_number 166
_symmetry_space_group_name_Hall '-R 3 2"'
_cell_length_a 13.3209
_cell_length_b 13.3209
_cell_length_c 12.6430
_cell_angle_alpha 90.00
_cell_angle_beta 90.00
_cell_angle_gamma 120.00
loop_
_atom_site_label
_atom_site_type_symbol
_atom_site_fract_x
_atom_site_fract_y
_atom_site_fract_z
Pm1 Pm 0.0000 0.0000 0.0000
Sm1 Sm 0.0000 0.2585 0.5000
Sm2 Sm 0.0908 0.1816 0.2641
Er1 Er 0.0413 0.5206 0.6203
# * calculated volume: 1942.9 Å³ per cell
# * VASP energy: -254.92 eV per cell

***

# BeSn3B PBE optimized geometry
data_BeSn3B
_symmetry_space_group_name_H-M 'P m -3 m'
_symmetry_Int_Tables_number 221
_symmetry_space_group_name_Hall '-P 4 2 3'
_cell_length_a 4.804
_cell_length_b 4.804
_cell_length_c 4.804
_cell_angle_alpha 90.00
_cell_angle_beta 90.00
_cell_angle_gamma 90.00
loop_
_atom_site_label
_atom_site_type_symbol
_atom_site_fract_x
_atom_site_fract_y
_atom_site_fract_z
Be1 Be 0.000 0.000 0.000
Sn1 Sn 0.000 0.500 0.500
B1 B 0.500 0.500 0.500
# * calculated volume: 110.9 Å³ per cell
# * VASP energy: -17.68 eV per cell

***

# Zn2SbCl PBE optimized geometry
data_Zn2SbCl
_symmetry_space_group_name_H-M 'I m m 2'
_symmetry_Int_Tables_number 44
_cell_length_a 3.075
_cell_length_b 6.177
_cell_length_c 9.621
_cell_angle_alpha 90.00
_cell_angle_beta 90.00
_cell_angle_gamma 90.00
loop_
_symmetry_equiv_pos_as_xyz
'x,y,z'
'-x,-y,z'
'-x,y,z'
'x,-y,z'
'x+1/2,y+1/2,z+1/2'
'-x+1/2,-y+1/2,z+1/2'
'-x+1/2,y+1/2,z+1/2'
'x+1/2,-y+1/2,z+1/2'
loop_
_atom_site_label
_atom_site_type_symbol
_atom_site_fract_x
_atom_site_fract_y
_atom_site_fract_z
Zn1 Zn 0.000 0.000 0.000
Zn2 Zn 0.000 0.500 0.283
Sb1 Sb 0.000 0.500 0.752
Cl1 Cl 0.000 0.000 0.585
# * calculated volume: 182.7 Å³ per cell
# * E_form (uncorrected): -0.05 eV per atom

***

# BaGdIn PBE optimized geometry
data_BaGdIn
_symmetry_space_group_name_H-M 'I 4 m m'
_symmetry_Int_Tables_number 107
_symmetry_space_group_name_Hall 'I 4 -2'
_cell_length_a 3.959
_cell_length_b 3.959
_cell_length_c 14.283
_cell_angle_alpha 90.00
_cell_angle_beta 90.00
_cell_angle_gamma 90.00
loop_
_atom_site_label
_atom_site_type_symbol
_atom_site_fract_x
_atom_site_fract_y
_atom_site_fract_z
Ba1 Ba 0.000 0.000 0.000
Gd1 Gd 0.000 0.000 0.282
In1 In 0.000 0.000 0.668
# * calculated volume: 223.8 Å³ per cell
# * VASP energy: -38.74 eV per cell

***

# PmInGa2 PBE optimized geometry
data_PmInGa2
_symmetry_space_group_name_H-M 'C m m m'
_symmetry_Int_Tables_number 65
_symmetry_space_group_name_Hall '-C 2 2'
_cell_length_a 5.757
_cell_length_b 9.711
_cell_length_c 3.345
_cell_angle_alpha 90.00
_cell_angle_beta 90.00
_cell_angle_gamma 90.00
loop_
_atom_site_label
_atom_site_type_symbol
_atom_site_fract_x
_atom_site_fract_y
_atom_site_fract_z
Pm1 Pm 0.000 0.000 0.000
In1 In 0.000 0.500 0.500
Ga1 Ga 0.250 0.250 0.500
# * calculated volume: 187.0 Å³ per cell
# * VASP energy: -29.66 eV per cell

***

# NaTlIn2Pt PBE optimized geometry
data_NaTlIn2Pt
_symmetry_space_group_name_H-M 'P 4/m m m'
_symmetry_Int_Tables_number 123
_symmetry_space_group_name_Hall '-P 4 2'
_cell_length_a 5.238
_cell_length_b 5.238
_cell_length_c 5.469
_cell_angle_alpha 90.00
_cell_angle_beta 90.00
_cell_angle_gamma 90.00
loop_
_atom_site_label
_atom_site_type_symbol
_atom_site_fract_x
_atom_site_fract_y
_atom_site_fract_z
Na1 Na 0.000 0.000 0.000
Tl1 Tl 0.500 0.500 0.000
In1 In 0.000 0.500 0.500
Pt1 Pt 0.500 0.500 0.500
# * calculated volume: 150.1 Å³ per cell
# * VASP energy: -15.78 eV per cell

***

# Zr3CdW PBE optimized geometry
data_Zr3CdW
_symmetry_space_group_name_H-M 'P m -3 m'
_symmetry_Int_Tables_number 221
_symmetry_space_group_name_Hall '-P 4 2 3'
_cell_length_a 5.113
_cell_length_b 5.113
_cell_length_c 5.113
_cell_angle_alpha 90.00
_cell_angle_beta 90.00
_cell_angle_gamma 90.00
loop_
_atom_site_label
_atom_site_type_symbol
_atom_site_fract_x
_atom_site_fract_y
_atom_site_fract_z
Zr1 Zr 0.000 0.000 0.500
Cd1 Cd 0.500 0.500 0.500
W1 W 0.000 0.000 0.000
# * calculated volume: 133.6 Å³ per cell
# * VASP energy: -35.73 eV per cell

***

# NaNp3P4N12 PBE optimized geometry
data_NaNp3P4N12
_symmetry_space_group_name_H-M 'R 3 2'
_symmetry_Int_Tables_number 155
_symmetry_space_group_name_Hall 'R 3 2"'
_cell_length_a 10.8255
_cell_length_b 10.8255
_cell_length_c 8.7256
_cell_angle_alpha 90.00
_cell_angle_beta 90.00
_cell_angle_gamma 120.00
loop_
_atom_site_label
_atom_site_type_symbol
_atom_site_fract_x
_atom_site_fract_y
_atom_site_fract_z
Na1 Na 0.0000 0.0000 0.0000
Np1 Np 0.0000 0.5506 0.0000
P1 P 0.0000 0.0000 0.5000
P2 P 0.0000 0.4463 0.5000
N1 N 0.0000 0.5942 0.5000
N2 N 0.0000 0.8539 0.5000
N3 N 0.0290 0.2172 0.1955
# * calculated volume: 885.6 Å³ per cell
# * E_form (uncorrected): -0.45 eV per atom

***

# PrDy3S PBE optimized geometry
data_PrDy3S
_symmetry_space_group_name_H-M 'P m -3 m'
_symmetry_Int_Tables_number 221
_symmetry_space_group_name_Hall '-P 4 2 3'
_cell_length_a 5.335
_cell_length_b 5.335
_cell_length_c 5.335
_cell_angle_alpha 90.00
_cell_angle_beta 90.00
_cell_angle_gamma 90.00
loop_
_atom_site_label
_atom_site_type_symbol
_atom_site_fract_x
_atom_site_fract_y
_atom_site_fract_z
Pr1 Pr 0.000 0.000 0.000
Dy1 Dy 0.000 0.500 0.500
S1 S 0.500 0.500 0.500
# * calculated volume: 151.8 Å³ per cell
# * E_form (uncorrected): -0.66 eV per atom

***

# CoPd2Au8 PBE optimized geometry
data_CoPd2Au8
_symmetry_space_group_name_H-M 'C 1 2/m 1'
_symmetry_Int_Tables_number 12
_cell_length_a 7.839
_cell_length_b 12.711
_cell_length_c 5.337
_cell_angle_alpha 90.00
_cell_angle_beta 131.05
_cell_angle_gamma 90.00
loop_
_symmetry_equiv_pos_as_xyz
'x,y,z'
'-x,-y,-z'
'-x,y,-z'
'x,-y,z'
'x+1/2,y+1/2,z'
'-x+1/2,-y+1/2,-z'
'-x+1/2,y+1/2,-z'
'x+1/2,-y+1/2,z'
loop_
_atom_site_label
_atom_site_type_symbol
_atom_site_fract_x
_atom_site_fract_y
_atom_site_fract_z
Co1 Co 0.000 0.000 0.000
Pd1 Pd 0.000 0.304 0.500
Au1 Au 0.000 0.219 0.000
Au2 Au 0.114 0.500 0.838
Au3 Au 0.209 0.111 0.584
# * calculated volume: 401.1 Å³ per cell
# * VASP energy: -83.55 eV per cell

***

# Cr20W3C6 PBE optimized geometry
data_Cr20W3C6
_symmetry_space_group_name_H-M 'F m -3 m'
_symmetry_Int_Tables_number 225
_symmetry_space_group_name_Hall '-F 4 2 3'
_cell_length_a 10.700
_cell_length_b 10.700
_cell_length_c 10.700
_cell_angle_alpha 90.00
_cell_angle_beta 90.00
_cell_angle_gamma 90.00
loop_
_atom_site_label
_atom_site_type_symbol
_atom_site_fract_x
_atom_site_fract_y
_atom_site_fract_z
Cr1 Cr 0.000 0.172 0.172
Cr2 Cr 0.115 0.115 0.385
W1 W 0.000 0.000 0.000
W2 W 0.250 0.250 0.250
C1 C 0.000 0.000 0.275
# * calculated volume: 1225.0 Å³ per cell
# * VASP energy: -1155.36 eV per cell